# NaSiTeF2 PBE relaxed
data_NaSiTeF2
_space_group_name_H-M_alt 'P 1'
_space_group_IT_number 1
_cell_length_a 4.135
_cell_length_b 4.135
_cell_length_c 5.540
_cell_angle_alpha 90.00
_cell_angle_beta 90.00
_cell_angle_gamma 90.00
loop_
_space_group_symop_operation_xyz
'x,y,z'
loop_
_atom_site_label
_atom_site_type_symbol
_atom_site_fract_x
_atom_site_fract_y
_atom_site_fract_z
_atom_site_occupancy
Na1 Na 0.000 0.000 0.000 1
Si1 Si 0.000 0.000 0.500 1
Te1 Te 0.500 0.500 0.500 1
F1 F 0.000 0.500 0.000 1
F2 F 0.500 0.000 0.000 1
# V = 18.95 A^3/atom
# Formation energy without anion corrections = -3.82 eV/f.u.

***

# V5As2H PBE relaxed
data_V5As2H
_space_group_name_H-M_alt 'P 1'
_space_group_IT_number 1
_cell_length_a 4.089
_cell_length_b 6.191
_cell_length_c 10.434
_cell_angle_alpha 90.00
_cell_angle_beta 90.00
_cell_angle_gamma 109.28
loop_
_space_group_symop_operation_xyz
'x,y,z'
loop_
_atom_site_label
_atom_site_type_symbol
_atom_site_fract_x
_atom_site_fract_y
_atom_site_fract_z
_atom_site_occupancy
V1 V 0.900 0.800 0.874 1
V2 V 0.900 0.800 0.626 1
V3 V 0.291 0.582 0.456 1
V4 V 0.291 0.582 0.044 1
V5 V 0.708 0.416 0.250 1
V6 V 0.292 0.584 0.750 1
V7 V 0.709 0.418 0.544 1
V8 V 0.709 0.418 0.956 1
V9 V 0.100 0.200 0.126 1
V10 V 0.100 0.200 0.374 1
As1 As 0.887 0.775 0.385 1
As2 As 0.887 0.775 0.115 1
As3 As 0.113 0.225 0.615 1
As4 As 0.113 0.225 0.885 1
H1 H 0.783 0.566 0.750 1
H2 H 0.217 0.434 0.250 1
# V = 15.58 A^3/atom

***

# Rb3Ac2SmSe6 PBE relaxed
data_Rb3Ac2SmSe6
_space_group_name_H-M_alt 'P 1'
_space_group_IT_number 1
_cell_length_a 7.825
_cell_length_b 7.825
_cell_length_c 8.455
_cell_angle_alpha 98.89
_cell_angle_beta 98.89
_cell_angle_gamma 119.99
loop_
_space_group_symop_operation_xyz
'x,y,z'
loop_
_atom_site_label
_atom_site_type_symbol
_atom_site_fract_x
_atom_site_fract_y
_atom_site_fract_z
_atom_site_occupancy
Rb1 Rb 0.168 0.832 0.500 1
Rb2 Rb 0.832 0.168 0.500 1
Rb3 Rb 0.500 0.500 0.500 1
Ac1 Ac 0.333 0.667 0.000 1
Ac2 Ac 0.667 0.333 0.000 1
Sm1 Sm 0.000 0.000 0.000 1
Se1 Se 0.932 0.612 0.796 1
Se2 Se 0.749 0.749 0.204 1
Se3 Se 0.068 0.388 0.204 1
Se4 Se 0.612 0.932 0.796 1
Se5 Se 0.251 0.251 0.796 1
Se6 Se 0.388 0.068 0.204 1
# V = 35.53 A^3/atom
# Formation energy without anion corrections = -21.33 eV/f.u.

***

# InCuBr PBE relaxed
data_InCuBr
_space_group_name_H-M_alt 'P 1'
_space_group_IT_number 1
_cell_length_a 6.805
_cell_length_b 6.398
_cell_length_c 3.633
_cell_angle_alpha 80.31
_cell_angle_beta 67.94
_cell_angle_gamma 31.75
loop_
_space_group_symop_operation_xyz
'x,y,z'
loop_
_atom_site_label
_atom_site_type_symbol
_atom_site_fract_x
_atom_site_fract_y
_atom_site_fract_z
_atom_site_occupancy
Br1 Br 0.035 0.035 0.965 1
Cu1 Cu 0.659 0.659 0.341 1
In1 In 0.306 0.306 0.694 1
# V = 24.45 A^3/atom
# Formation energy without anion corrections = -0.10 eV/f.u.

***

# CoNi4H6 PBE relaxed
data_CoNi4H6
_space_group_name_H-M_alt 'P 1'
_space_group_IT_number 1
_cell_length_a 2.610
_cell_length_b 4.511
_cell_length_c 12.063
_cell_angle_alpha 90.00
_cell_angle_beta 90.00
_cell_angle_gamma 106.82
loop_
_space_group_symop_operation_xyz
'x,y,z'
loop_
_atom_site_label
_atom_site_type_symbol
_atom_site_fract_x
_atom_site_fract_y
_atom_site_fract_z
_atom_site_occupancy
Co1 Co 0.666 0.332 0.250 1
Co2 Co 0.334 0.668 0.750 1
Ni1 Ni 0.863 0.726 0.550 1
Ni2 Ni 0.407 0.814 0.138 1
Ni3 Ni 0.137 0.274 0.450 1
Ni4 Ni 0.593 0.186 0.862 1
Ni5 Ni 0.863 0.726 0.950 1
Ni6 Ni 0.137 0.274 0.050 1
Ni7 Ni 0.593 0.186 0.638 1
Ni8 Ni 0.407 0.814 0.362 1
H1 H 0.500 0.000 0.000 1
H2 H 0.500 0.000 0.500 1
H3 H 0.050 0.100 0.325 1
H4 H 0.950 0.900 0.675 1
H5 H 0.950 0.900 0.825 1
H6 H 0.050 0.100 0.175 1
H7 H 0.774 0.547 0.406 1
H8 H 0.226 0.453 0.594 1
H9 H 0.226 0.453 0.906 1
H10 H 0.774 0.547 0.094 1
H11 H 0.293 0.586 0.250 1
H12 H 0.707 0.414 0.750 1
# V = 6.18 A^3/atom

***

# HfH3Pd PBE relaxed
data_HfH3Pd
_space_group_name_H-M_alt 'P 1'
_space_group_IT_number 1
_cell_length_a 3.695
_cell_length_b 3.695
_cell_length_c 3.695
_cell_angle_alpha 90.00
_cell_angle_beta 90.00
_cell_angle_gamma 90.00
loop_
_space_group_symop_operation_xyz
'x,y,z'
loop_
_atom_site_label
_atom_site_type_symbol
_atom_site_fract_x
_atom_site_fract_y
_atom_site_fract_z
_atom_site_occupancy
H1 H 0.000 0.500 0.000 1
H2 H 0.000 0.000 0.500 1
H3 H 0.500 0.000 0.000 1
Hf1 Hf 0.000 0.000 0.000 1
Pd1 Pd 0.500 0.500 0.500 1
# V = 10.09 A^3/atom

***

# CaCd2PtCl PBE relaxed
data_CaCd2PtCl
_space_group_name_H-M_alt 'P 1'
_space_group_IT_number 1
_cell_length_a 5.209
_cell_length_b 5.506
_cell_length_c 5.209
_cell_angle_alpha 90.00
_cell_angle_beta 90.00
_cell_angle_gamma 90.00
loop_
_space_group_symop_operation_xyz
'x,y,z'
loop_
_atom_site_label
_atom_site_type_symbol
_atom_site_fract_x
_atom_site_fract_y
_atom_site_fract_z
_atom_site_occupancy
Ca1 Ca 0.000 0.500 0.000 1
Cl1 Cl 0.500 0.500 0.500 1
Pt1 Pt 0.000 0.000 0.000 1
Cd1 Cd 0.000 0.000 0.500 1
Cd2 Cd 0.500 0.000 0.000 1
# V = 29.88 A^3/atom
# Formation energy without anion corrections = -3.11 eV/f.u.

***

# Rb2LiPPb PBE relaxed
data_Rb2LiPPb
_space_group_name_H-M_alt 'P 1'
_space_group_IT_number 1
_cell_length_a 5.717
_cell_length_b 5.267
_cell_length_c 5.717
_cell_angle_alpha 90.00
_cell_angle_beta 90.00
_cell_angle_gamma 90.00
loop_
_space_group_symop_operation_xyz
'x,y,z'
loop_
_atom_site_label
_atom_site_type_symbol
_atom_site_fract_x
_atom_site_fract_y
_atom_site_fract_z
_atom_site_occupancy
Pb1 Pb 0.000 0.500 0.000 1
P1 P 0.500 0.500 0.500 1
Rb1 Rb 0.000 0.000 0.500 1
Rb2 Rb 0.500 0.000 0.000 1
Li1 Li 0.000 0.000 0.000 1
# V = 34.43 A^3/atom

***

# SmTlHg2Cl8 PBE relaxed
data_SmTlHg2Cl8
_space_group_name_H-M_alt 'P 1'
_space_group_IT_number 1
_cell_length_a 6.853
_cell_length_b 6.754
_cell_length_c 9.056
_cell_angle_alpha 74.98
_cell_angle_beta 81.81
_cell_angle_gamma 87.36
loop_
_space_group_symop_operation_xyz
'x,y,z'
loop_
_atom_site_label
_atom_site_type_symbol
_atom_site_fract_x
_atom_site_fract_y
_atom_site_fract_z
_atom_site_occupancy
Sm1 Sm 0.000 0.000 0.000 1
Tl1 Tl 0.000 0.000 0.500 1
Hg1 Hg 0.477 0.467 0.731 1
Hg2 Hg 0.523 0.533 0.269 1
Cl1 Cl 0.141 0.746 0.244 1
Cl2 Cl 0.661 0.760 0.029 1
Cl3 Cl 0.821 0.212 0.193 1
Cl4 Cl 0.859 0.254 0.756 1
Cl5 Cl 0.339 0.240 0.971 1
Cl6 Cl 0.179 0.788 0.807 1
Cl7 Cl 0.607 0.731 0.513 1
Cl8 Cl 0.393 0.269 0.487 1
# V = 33.39 A^3/atom
# Formation energy without anion corrections = -14.33 eV/f.u.

***

# AlZn PBE relaxed
data_AlZn
_space_group_name_H-M_alt 'P 1'
_space_group_IT_number 1
_cell_length_a 9.614
_cell_length_b 4.847
_cell_length_c 5.545
_cell_angle_alpha 90.00
_cell_angle_beta 90.00
_cell_angle_gamma 90.00
loop_
_space_group_symop_operation_xyz
'x,y,z'
loop_
_atom_site_label
_atom_site_type_symbol
_atom_site_fract_x
_atom_site_fract_y
_atom_site_fract_z
_atom_site_occupancy
Al1 Al 0.332 0.250 0.251 1
Al2 Al 0.832 0.250 0.249 1
Al3 Al 0.668 0.750 0.749 1
Al4 Al 0.168 0.750 0.751 1
Al5 Al 0.082 0.250 0.999 1
Al6 Al 0.582 0.250 0.501 1
Al7 Al 0.918 0.750 0.001 1
Al8 Al 0.418 0.750 0.499 1
Zn1 Zn 0.332 0.250 0.751 1
Zn2 Zn 0.832 0.250 0.749 1
Zn3 Zn 0.668 0.750 0.249 1
Zn4 Zn 0.168 0.750 0.251 1
Zn5 Zn 0.082 0.250 0.499 1
Zn6 Zn 0.582 0.250 0.001 1
Zn7 Zn 0.918 0.750 0.501 1
Zn8 Zn 0.418 0.750 0.999 1
# V = 16.15 A^3/atom

***

# LiCoP PBE relaxed
data_LiCoP
_space_group_name_H-M_alt 'P 1'
_space_group_IT_number 1
_cell_length_a 4.826
_cell_length_b 4.826
_cell_length_c 2.897
_cell_angle_alpha 72.54
_cell_angle_beta 72.53
_cell_angle_gamma 34.93
loop_
_space_group_symop_operation_xyz
'x,y,z'
loop_
_atom_site_label
_atom_site_type_symbol
_atom_site_fract_x
_atom_site_fract_y
_atom_site_fract_z
_atom_site_occupancy
Co1 Co 0.033 0.033 0.967 1
Li1 Li 0.329 0.329 0.671 1
P1 P 0.638 0.638 0.362 1
# V = 12.22 A^3/atom

***

# Na2Tl5Hg4 PBE relaxed
data_Na2Tl5Hg4
_space_group_name_H-M_alt 'P 1'
_space_group_IT_number 1
_cell_length_a 5.177
_cell_length_b 6.676
_cell_length_c 9.364
_cell_angle_alpha 87.45
_cell_angle_beta 106.05
_cell_angle_gamma 90.00
loop_
_space_group_symop_operation_xyz
'x,y,z'
loop_
_atom_site_label
_atom_site_type_symbol
_atom_site_fract_x
_atom_site_fract_y
_atom_site_fract_z
_atom_site_occupancy
Na1 Na 0.596 0.527 0.192 1
Na2 Na 0.404 0.473 0.808 1
Tl1 Tl 0.785 0.650 0.570 1
Tl2 Tl 0.215 0.350 0.430 1
Tl3 Tl 0.143 0.826 0.286 1
Tl4 Tl 0.500 0.000 0.000 1
Tl5 Tl 0.857 0.174 0.714 1
Hg1 Hg 0.323 0.922 0.646 1
Hg2 Hg 0.033 0.283 0.066 1
Hg3 Hg 0.677 0.078 0.354 1
Hg4 Hg 0.967 0.717 0.934 1
# V = 28.24 A^3/atom

***

# Sc2Co3Ru PBE relaxed
data_Sc2Co3Ru
_space_group_name_H-M_alt 'P 1'
_space_group_IT_number 1
_cell_length_a 4.913
_cell_length_b 4.913
_cell_length_c 4.991
_cell_angle_alpha 89.88
_cell_angle_beta 119.54
_cell_angle_gamma 120.09
loop_
_space_group_symop_operation_xyz
'x,y,z'
loop_
_atom_site_label
_atom_site_type_symbol
_atom_site_fract_x
_atom_site_fract_y
_atom_site_fract_z
_atom_site_occupancy
Sc1 Sc 0.751 0.376 0.127 1
Sc2 Sc 0.249 0.624 0.873 1
Co1 Co 0.500 0.500 0.500 1
Co2 Co 0.000 0.000 0.500 1
Co3 Co 0.500 0.000 0.500 1
Ru1 Ru 0.000 0.000 0.000 1
# V = 14.29 A^3/atom

***

# FeSe PBE relaxed
data_FeSe
_space_group_name_H-M_alt 'P 1'
_space_group_IT_number 1
_cell_length_a 3.927
_cell_length_b 3.927
_cell_length_c 11.093
_cell_angle_alpha 90.00
_cell_angle_beta 90.00
_cell_angle_gamma 120.00
loop_
_space_group_symop_operation_xyz
'x,y,z'
loop_
_atom_site_label
_atom_site_type_symbol
_atom_site_fract_x
_atom_site_fract_y
_atom_site_fract_z
_atom_site_occupancy
Fe1 Fe 0.000 0.000 0.250 1
Fe2 Fe 0.000 0.000 0.750 1
Fe3 Fe 0.333 0.667 0.750 1
Fe4 Fe 0.667 0.333 0.250 1
Se1 Se 0.333 0.667 0.115 1
Se2 Se 0.667 0.333 0.615 1
Se3 Se 0.667 0.333 0.885 1
Se4 Se 0.333 0.667 0.385 1
# V = 18.52 A^3/atom
# Formation energy without anion corrections = 0.36 eV/f.u.

***

# Mg2TlPb3 PBE relaxed
data_Mg2TlPb3
_space_group_name_H-M_alt 'P 1'
_space_group_IT_number 1
_cell_length_a 3.549
_cell_length_b 3.549
_cell_length_c 13.281
_cell_angle_alpha 90.00
_cell_angle_beta 90.00
_cell_angle_gamma 90.00
loop_
_space_group_symop_operation_xyz
'x,y,z'
loop_
_atom_site_label
_atom_site_type_symbol
_atom_site_fract_x
_atom_site_fract_y
_atom_site_fract_z
_atom_site_occupancy
Mg1 Mg 0.500 0.500 0.844 1
Mg2 Mg 0.500 0.500 0.156 1
Tl1 Tl 0.500 0.500 0.500 1
Pb1 Pb 0.000 0.000 0.000 1
Pb2 Pb 0.000 0.000 0.691 1
Pb3 Pb 0.000 0.000 0.309 1
# V = 27.87 A^3/atom

***

# AcTb14Ho PBE relaxed
data_AcTb14Ho
_space_group_name_H-M_alt 'P 1'
_space_group_IT_number 1
_cell_length_a 7.302
_cell_length_b 7.302
_cell_length_c 11.429
_cell_angle_alpha 90.00
_cell_angle_beta 90.00
_cell_angle_gamma 120.01
loop_
_space_group_symop_operation_xyz
'x,y,z'
loop_
_atom_site_label
_atom_site_type_symbol
_atom_site_fract_x
_atom_site_fract_y
_atom_site_fract_z
_atom_site_occupancy
Ac1 Ac 0.667 0.333 0.000 1
Tb1 Tb 0.666 0.334 0.500 1
Tb2 Tb 0.167 0.833 0.500 1
Tb3 Tb 0.165 0.331 0.000 1
Tb4 Tb 0.167 0.334 0.500 1
Tb5 Tb 0.669 0.835 0.000 1
Tb6 Tb 0.666 0.833 0.500 1
Tb7 Tb 0.331 0.165 0.746 1
Tb8 Tb 0.331 0.165 0.254 1
Tb9 Tb 0.835 0.669 0.746 1
Tb10 Tb 0.835 0.669 0.254 1
Tb11 Tb 0.835 0.165 0.745 1
Tb12 Tb 0.835 0.165 0.255 1
Tb13 Tb 0.333 0.667 0.751 1
Tb14 Tb 0.333 0.667 0.249 1
Ho1 Ho 0.165 0.835 0.000 1
# V = 32.99 A^3/atom

***

# Y2Cd3 PBE relaxed
data_Y2Cd3
_space_group_name_H-M_alt 'P 1'
_space_group_IT_number 1
_cell_length_a 5.015
_cell_length_b 5.015
_cell_length_c 6.552
_cell_angle_alpha 67.50
_cell_angle_beta 67.50
_cell_angle_gamma 60.00
loop_
_space_group_symop_operation_xyz
'x,y,z'
loop_
_atom_site_label
_atom_site_type_symbol
_atom_site_fract_x
_atom_site_fract_y
_atom_site_fract_z
_atom_site_occupancy
Y1 Y 0.402 0.402 0.793 1
Y2 Y 0.598 0.598 0.207 1
Cd1 Cd 0.000 0.000 0.000 1
Cd2 Cd 0.811 0.811 0.568 1
Cd3 Cd 0.189 0.189 0.432 1
# V = 25.60 A^3/atom

***

# ZnCdAs PBE relaxed
data_ZnCdAs
_space_group_name_H-M_alt 'P 1'
_space_group_IT_number 1
_cell_length_a 4.571
_cell_length_b 4.571
_cell_length_c 4.571
_cell_angle_alpha 60.00
_cell_angle_beta 60.00
_cell_angle_gamma 60.00
loop_
_space_group_symop_operation_xyz
'x,y,z'
loop_
_atom_site_label
_atom_site_type_symbol
_atom_site_fract_x
_atom_site_fract_y
_atom_site_fract_z
_atom_site_occupancy
As1 As 0.500 0.500 0.500 1
Cd1 Cd 0.750 0.750 0.750 1
Zn1 Zn 0.000 0.000 0.000 1
# V = 22.51 A^3/atom

***

# Al2AgIrPb PBE relaxed
data_Al2AgIrPb
_space_group_name_H-M_alt 'P 1'
_space_group_IT_number 1
_cell_length_a 4.686
_cell_length_b 5.341
_cell_length_c 4.686
_cell_angle_alpha 90.00
_cell_angle_beta 90.00
_cell_angle_gamma 90.00
loop_
_space_group_symop_operation_xyz
'x,y,z'
loop_
_atom_site_label
_atom_site_type_symbol
_atom_site_fract_x
_atom_site_fract_y
_atom_site_fract_z
_atom_site_occupancy
Pb1 Pb 0.500 0.500 0.500 1
Ir1 Ir 0.000 0.000 0.000 1
Al1 Al 0.000 0.000 0.500 1
Al2 Al 0.500 0.000 0.000 1
Ag1 Ag 0.000 0.500 0.000 1
# V = 23.46 A^3/atom

***

# YTa3Tl PBE relaxed
data_YTa3Tl
_space_group_name_H-M_alt 'P 1'
_space_group_IT_number 1
_cell_length_a 4.985
_cell_length_b 4.985
_cell_length_c 4.985
_cell_angle_alpha 90.00
_cell_angle_beta 90.00
_cell_angle_gamma 90.00
loop_
_space_group_symop_operation_xyz
'x,y,z'
loop_
_atom_site_label
_atom_site_type_symbol
_atom_site_fract_x
_atom_site_fract_y
_atom_site_fract_z
_atom_site_occupancy
Y1 Y 0.000 0.000 0.000 1
Tl1 Tl 0.500 0.500 0.500 1
Ta1 Ta 0.000 0.500 0.000 1
Ta2 Ta 0.000 0.000 0.500 1
Ta3 Ta 0.500 0.000 0.000 1
# V = 24.77 A^3/atom

***

In the order shown, the computed density of states at the Fermi level values come out to 2.94; 8.99; 0.00; 0.57; 11.53; 1.39; 1.75; 1.83; 0.00; 4.40; 1.68; 4.57; 6.96; 5.81; 2.47; 27.35; 3.27; 1.90; 1.98; 6.68 states/eV/cell.
In the order shown, the computed raw total energy values come out to -17.4; -115.1; -58.1; -8.6; -100.5; -25.1; -14.8; -11.1; -36.8; -39.0; -15.6; -16.7; -45.4; -46.3; -17.0; -73.1; -17.0; -6.3; -22.5; -33.0 eV/cell.